Entry from Alexandria: a geometry-optimized BaCoSO structure (GGA+U).

## Properties
- Calculated volume: 321.93 Å³/cell
- D(E_F): 0.000 states/eV per atom
- Calculated total energy: -5.5801 eV/atom

abc: 4.0259 12.9385 6.1804
angles: 90.00 90.00 90.00
Fractional positions:
Ba: 0.0000 0.1145 0.2500
Ba: 0.0000 0.8855 0.7500
Ba: 0.5000 0.3855 0.7500
Ba: 0.5000 0.6145 0.2500
Co: 0.0000 0.4061 0.2500
Co: 0.0000 0.5939 0.7500
Co: 0.5000 0.0939 0.7500
Co: 0.5000 0.9061 0.2500
S: 0.0000 0.1904 0.7500
S: 0.0000 0.8096 0.2500
S: 0.5000 0.3096 0.2500
S: 0.5000 0.6904 0.7500
O: 0.0000 0.5000 0.0000
O: 0.0000 0.5000 0.5000
O: 0.5000 0.0000 0.0000
O: 0.5000 0.0000 0.5000